Density functional theory data (PBE-GGA) for Ho2Si4Tc3 after structural relaxation.

```
data_Ho2Si4Tc3
_chemical_formula_sum 'Ho2 Si4 Tc3'
_symmetry_space_group_name_H-M 'P 1'
_symmetry_Int_Tables_number 1
_cell_length_a 5.420
_cell_length_b 5.420
_cell_length_c 6.729
_cell_angle_alpha 101.64
_cell_angle_beta 101.64
_cell_angle_gamma 119.95
loop_
_symmetry_equiv_pos_as_xyz
'x,y,z'
loop_
_atom_site_label
_atom_site_type_symbol
_atom_site_fract_x
_atom_site_fract_y
_atom_site_fract_z
_atom_site_occupancy
Tc1 Tc 0.500 0.000 0.000 1
Tc2 Tc 0.000 0.500 0.000 1
Tc3 Tc 0.000 0.000 0.000 1
Si1 Si 0.982 0.340 0.322 1
Si2 Si 0.340 0.982 0.322 1
Si3 Si 0.018 0.660 0.678 1
Si4 Si 0.660 0.018 0.678 1
Ho1 Ho 0.362 0.362 0.724 1
Ho2 Ho 0.638 0.638 0.276 1
```

Properties
raw formation energy = -0.438 eV per atom
energy above the lowest structure with this stoichiometry = 0.305 eV per atom



Density functional theory data (PBE-GGA) for Tb2YAl2Zn2 after structural relaxation.

```
data_Tb2YAl2Zn2
_chemical_formula_sum 'Tb2 Y1 Al2 Zn2'
_symmetry_space_group_name_H-M 'P 1'
_symmetry_Int_Tables_number 1
_cell_length_a 4.504
_cell_length_b 4.504
_cell_length_c 9.485
_cell_angle_alpha 76.26
_cell_angle_beta 76.26
_cell_angle_gamma 60.00
loop_
_symmetry_equiv_pos_as_xyz
'x,y,z'
loop_
_atom_site_label
_atom_site_type_symbol
_atom_site_fract_x
_atom_site_fract_y
_atom_site_fract_z
_atom_site_occupancy
Tb1 Tb 0.873 0.873 0.382 1
Tb2 Tb 0.127 0.127 0.618 1
Y1 Y 0.000 0.000 0.000 1
Al1 Al 0.264 0.264 0.207 1
Al2 Al 0.736 0.736 0.793 1
Zn1 Zn 0.602 0.602 0.194 1
Zn2 Zn 0.398 0.398 0.806 1
```

Properties
ΔH_f (0 K) = -31.0 kJ per mole of atoms



Density functional theory data (PBE-GGA) for VNiPt after structural relaxation.

```
data_VNiPt
_chemical_formula_sum 'V1 Ni1 Pt1'
_symmetry_space_group_name_H-M 'P 1'
_symmetry_Int_Tables_number 1
_cell_length_a 2.689
_cell_length_b 2.689
_cell_length_c 5.828
_cell_angle_alpha 103.34
_cell_angle_beta 103.34
_cell_angle_gamma 90.00
loop_
_symmetry_equiv_pos_as_xyz
'x,y,z'
loop_
_atom_site_label
_atom_site_type_symbol
_atom_site_fract_x
_atom_site_fract_y
_atom_site_fract_z
_atom_site_occupancy
Pt1 Pt 0.951 0.951 0.902 1
Ni1 Ni 0.276 0.276 0.551 1
V1 V 0.623 0.623 0.246 1
```

Properties
ΔH_f (0 K) = -31.7 kJ per mole of atoms
energy above the lowest structure with this stoichiometry = 0.023 eV per atom



Density functional theory data (PBE-GGA) for Sc2ReB after structural relaxation.

```
data_Sc2ReB
_chemical_formula_sum 'Sc4 Re2 B2'
_symmetry_space_group_name_H-M 'P 1'
_symmetry_Int_Tables_number 1
_cell_length_a 3.326
_cell_length_b 7.594
_cell_length_c 5.388
_cell_angle_alpha 90.00
_cell_angle_beta 90.00
_cell_angle_gamma 90.00
loop_
_symmetry_equiv_pos_as_xyz
'x,y,z'
loop_
_atom_site_label
_atom_site_type_symbol
_atom_site_fract_x
_atom_site_fract_y
_atom_site_fract_z
_atom_site_occupancy
Sc1 Sc 0.000 0.301 0.868 1
Sc2 Sc 0.500 0.801 0.368 1
Sc3 Sc 0.500 0.199 0.368 1
Sc4 Sc 0.000 0.699 0.868 1
B1 B 0.500 0.500 0.127 1
B2 B 0.000 0.000 0.627 1
Re1 Re 0.500 0.000 0.859 1
Re2 Re 0.000 0.500 0.359 1
```

Properties
ΔH_f (0 K) = -16.8 kJ per mole of atoms